# NdSm2Ga2Cu4, relaxed, DFT PBE
# - Size of the total moment: 0.21 Bohr magnetons per cell
# - E: -4.253 eV/atom
data_NdSm2Ga2Cu4
_cell_length_a 10.242
_cell_length_b 4.222
_cell_length_c 8.412
_cell_angle_alpha 90.00
_cell_angle_beta 98.87
_cell_angle_gamma 90.00
_space_group_name_H-M_alt 'C 1 2/m 1'
_space_group_IT_number 12
_space_group_name_Hall '-C 2y'
loop_
_atom_site_label
_atom_site_fract_x
_atom_site_fract_y
_atom_site_fract_z
Nd1 0.000 0.000 0.000
Sm1 0.125 0.500 0.377
Ga1 0.183 0.500 0.771
Cu1 0.081 0.000 0.636
Cu2 0.227 0.500 0.076